1.
First-principles (PBE) data for a geometry-optimized ZrVS2N structure, as listed in the Alexandria database.

Calculated values
The formation energy without anion corrections is -0.496 eV/atom. The offset from the most stable computed form is 0.0000 eV/atom. The calculation puts the density of states at the Fermi level at 2.7 states/eV/f.u. Its total moment is 0.4 Bohr magnetons per cell.

Unit cell a=4.6654 b=4.6654 c=3.6140 alpha=90.00 beta=90.00 gamma=90.00
With the nearest neighbours (Å) after each atom.
Fractional positions:
Zr1 0.0000 0.0000 0.0000  8 S 2.95, 4 N 3.30
V1 0.5000 0.5000 0.5000  2 N 1.81
S1 0.0000 0.5000 0.5000  2 V 2.33
S2 0.5000 0.0000 0.5000  2 V 2.33
N1 0.5000 0.5000 0.0000  2 V 1.81

2.
First-principles (PBE) data for a geometry-optimized ZrVSN2 structure, as listed in the Alexandria database.

Calculated values
The formation energy without anion corrections is -0.333 eV/atom. The offset from the most stable computed form is 0.0000 eV/atom. The calculation puts the density of states at the Fermi level at 3.4 states/eV/f.u. Its total moment is 0.0 Bohr magnetons per cell.

Unit cell a=3.7814 b=3.7814 c=4.6235 alpha=90.00 beta=90.00 gamma=90.00
With the nearest neighbours (Å) after each atom.
Fractional positions:
Zr1 0.0000 0.0000 0.0000  4 S 2.67, 8 N 2.99
V1 0.5000 0.5000 0.5000  4 N 1.89
S1 0.5000 0.5000 0.0000  2 V 2.31
N1 0.0000 0.5000 0.5000  2 V 1.89
N2 0.5000 0.0000 0.5000  2 V 1.89